First-principles (PBE) data for crystalline Ce4Tl2C at its relaxed geometry, as listed in Alexandria.

```
7
Lattice="6.227 0.000 0.000 0.000 3.535 0.000 -2.111 0.000 8.381" Properties=species:S:1:pos:R:3 pbc="T T T"
Ce 0.050 0.000 2.543
Ce -0.409 1.768 8.325
Ce 4.525 1.768 0.056
Ce 4.066 0.000 5.838
Tl 0.997 1.768 5.389
Tl 3.119 1.768 2.992
C 0.000 0.000 0.000
```

## Properties
Raw total energy in eV per cell: -38.53
Symmetry: P2/m (10)
N(E_F) in states/eV/f.u.: 18.28
Formation energy from the elements in meV per atom: -120

First-principles (PBE) data for crystalline MnCrIr at its relaxed geometry, as listed in Alexandria.

```
18
Lattice="-3.417 5.177 3.369 3.417 -5.177 3.369 3.417 5.177 -3.369" Properties=species:S:1:pos:R:3 pbc="T T T"
Mn 0.000 0.000 0.000
Mn 3.417 0.000 0.000
Mn 0.362 3.954 0.543
Mn 3.055 3.954 0.543
Mn -0.362 6.400 0.543
Mn 0.362 1.223 3.913
Cr 3.124 3.366 -1.740
Cr 3.710 -1.811 1.629
Cr 0.293 1.811 1.629
Cr 3.124 1.811 1.629
Cr 1.709 -0.668 4.910
Cr 1.709 5.846 1.541
Ir 1.709 1.761 -0.509
Ir 5.126 2.197 0.111
Ir 1.709 -0.408 2.231
Ir 1.709 5.585 -1.138
Ir 1.709 3.417 2.860
Ir -1.709 2.980 3.480
```

## Properties
Raw total energy in eV per cell: -164.97
Symmetry: Ima2 (46)
Distance to the lowest polymorph of the same formula in meV/atom: 155.4
N(E_F) in states/eV/f.u.: 2.88
Formation energy from the elements in meV per atom: 53

First-principles (PBE) data for crystalline ReIr3 at its relaxed geometry, as listed in Alexandria.

```
4
Lattice="4.747 0.000 0.000 0.000 4.747 0.000 0.000 0.000 4.747" Properties=species:S:1:pos:R:3 pbc="T T T"
Re 0.000 0.000 0.000
Ir 0.000 0.000 2.374
Ir 0.000 2.374 0.000
Ir 2.374 0.000 0.000
```

## Properties
Raw total energy in eV per cell: -29.88
Symmetry: Pm-3m (221)
Distance to the lowest polymorph of the same formula in meV/atom: 2438.7
N(E_F) in states/eV/f.u.: 5.98
Formation energy from the elements in meV per atom: 2287

First-principles (PBE) data for crystalline Ba2MgH6Rh at its relaxed geometry, as listed in Alexandria.

```
10
Lattice="-2.721 2.721 4.593 2.721 -2.721 4.593 2.721 2.721 -4.593" Properties=species:S:1:pos:R:3 pbc="T T T"
Ba 2.721 0.000 2.297
Ba 0.000 2.721 2.297
Mg 0.000 0.000 0.000
H 0.000 0.000 1.934
H 1.489 1.489 0.000
H 1.232 -1.232 4.593
H -1.232 1.232 4.593
H 1.232 1.232 4.593
H 0.000 0.000 7.253
Rh 0.000 0.000 4.593
```

## Properties
Raw total energy in eV per cell: -36.86
Symmetry: I4/mmm (139)
N(E_F) in states/eV/f.u.: 1.65

First-principles (PBE) data for crystalline CaHgPb6 at its relaxed geometry, as listed in Alexandria.

```
8
Lattice="4.891 -5.023 0.000 4.891 5.023 0.000 0.000 0.000 4.911" Properties=species:S:1:pos:R:3 pbc="T T T"
Ca 0.000 0.000 0.000
Hg 4.891 0.000 0.000
Pb 2.446 2.512 0.000
Pb 4.891 2.503 2.455
Pb 2.608 0.000 2.455
Pb 2.446 -2.512 0.000
Pb 7.174 0.000 2.455
Pb 4.891 -2.503 2.455
```

## Properties
Raw total energy in eV per cell: -25.58
Symmetry: Cmmm (65)
N(E_F) in states/eV/f.u.: 2.07
Formation energy from the elements in meV per atom: -128

First-principles (PBE) data for crystalline MnTl2Br at its relaxed geometry, as listed in Alexandria.

```
8
Lattice="-2.301 2.301 11.058 2.301 -2.301 11.058 2.301 2.301 -11.058" Properties=species:S:1:pos:R:3 pbc="T T T"
Mn 0.000 0.000 0.000
Mn 0.000 2.301 5.529
Tl 3.452 1.139 -2.764
Tl 1.139 1.151 2.764
Tl -1.151 1.162 8.293
Tl 1.162 1.151 13.822
Br 2.301 0.000 5.529
Br 0.000 0.000 11.058
```

## Properties
Raw total energy in eV per cell: -28.88
Symmetry: I-42d (122)
Distance to the lowest polymorph of the same formula in meV/atom: 300.2
E_form (uncorrected) in eV per atom: 0.2842
N(E_F) in states/eV/f.u.: 2.96